(1)
The following is a DFT calculation (PBE) of crystalline Pu2Np3ScP6 at its relaxed geometry.

Cell and atoms, written as CIF:
```
data_Pu2Np3ScP6
_space_group_name_H-M_alt 'P 1'
_space_group_IT_number 1
_cell_length_a 6.808
_cell_length_b 6.808
_cell_length_c 6.811
_cell_angle_alpha 99.61
_cell_angle_beta 99.61
_cell_angle_gamma 120.01
loop_
_space_group_symop_operation_xyz
'x,y,z'
loop_
_atom_site_label
_atom_site_type_symbol
_atom_site_fract_x
_atom_site_fract_y
_atom_site_fract_z
P1 P 0.244 0.244 0.749
P2 P 0.756 0.756 0.251
P3 P 0.410 0.082 0.248
P4 P 0.082 0.410 0.248
P5 P 0.590 0.918 0.752
P6 P 0.918 0.590 0.752
Sc1 Sc 0.000 0.000 0.000
Np1 Np 0.168 0.832 0.500
Np2 Np 0.832 0.168 0.500
Np3 Np 0.500 0.500 0.500
Pu1 Pu 0.334 0.666 0.000
Pu2 Pu 0.666 0.334 0.000
```

## Properties
Energy of formation, kJ/mol of atoms: -99.0



(2)
The following is a DFT calculation (PBE) of crystalline PuNp2ScP4 at its relaxed geometry.

Cell and atoms, written as CIF:
```
data_PuNp2ScP4
_space_group_name_H-M_alt 'P 1'
_space_group_IT_number 1
_cell_length_a 3.916
_cell_length_b 6.755
_cell_length_c 6.816
_cell_angle_alpha 109.30
_cell_angle_beta 90.00
_cell_angle_gamma 90.00
loop_
_space_group_symop_operation_xyz
'x,y,z'
loop_
_atom_site_label
_atom_site_type_symbol
_atom_site_fract_x
_atom_site_fract_y
_atom_site_fract_z
P1 P 0.000 0.743 0.245
P2 P 0.500 0.745 0.752
P3 P 0.500 0.255 0.248
P4 P 0.000 0.257 0.755
Sc1 Sc 0.500 0.500 0.000
Pu1 Pu 0.000 0.000 0.000
Np1 Np 0.500 0.000 0.500
Np2 Np 0.000 0.500 0.500
```

## Properties
Energy of formation, kJ/mol of atoms: -104.7



(3)
The following is a DFT calculation (PBE) of crystalline PuNpPSe at its relaxed geometry.

Cell and atoms, written as CIF:
```
data_PuNpPSe
_space_group_name_H-M_alt 'P 1'
_space_group_IT_number 1
_cell_length_a 4.049
_cell_length_b 4.049
_cell_length_c 7.075
_cell_angle_alpha 73.37
_cell_angle_beta 73.37
_cell_angle_gamma 60.00
loop_
_space_group_symop_operation_xyz
'x,y,z'
loop_
_atom_site_label
_atom_site_type_symbol
_atom_site_fract_x
_atom_site_fract_y
_atom_site_fract_z
Se1 Se 0.751 0.751 0.747
Pu1 Pu 0.995 0.995 0.015
P1 P 0.249 0.249 0.253
Np1 Np 0.505 0.505 0.485
```

## Properties
Formation energy without anion corrections, kJ/mol of formula units: -456.5



(4)
The following is a DFT calculation (PBE) of crystalline Sr2PuNpP4 at its relaxed geometry.

Cell and atoms, written as CIF:
```
data_Sr2PuNpP4
_space_group_name_H-M_alt 'P 1'
_space_group_IT_number 1
_cell_length_a 4.142
_cell_length_b 7.177
_cell_length_c 7.270
_cell_angle_alpha 109.18
_cell_angle_beta 90.00
_cell_angle_gamma 90.00
loop_
_space_group_symop_operation_xyz
'x,y,z'
loop_
_atom_site_label
_atom_site_type_symbol
_atom_site_fract_x
_atom_site_fract_y
_atom_site_fract_z
Pu1 Pu 0.500 0.500 0.000
Sr1 Sr 0.000 0.500 0.500
Sr2 Sr 0.500 0.000 0.500
P1 P 0.000 0.259 0.791
P2 P 0.500 0.768 0.791
P3 P 0.000 0.741 0.209
P4 P 0.500 0.232 0.209
Np1 Np 0.000 0.000 0.000
```

## Properties
Energy of formation, kJ/mol of atoms: -97.4



(5)
The following is a DFT calculation (PBE) of crystalline Pu2Np3TaP6 at its relaxed geometry.

Cell and atoms, written as CIF:
```
data_Pu2Np3TaP6
_space_group_name_H-M_alt 'P 1'
_space_group_IT_number 1
_cell_length_a 6.719
_cell_length_b 6.719
_cell_length_c 6.710
_cell_angle_alpha 99.62
_cell_angle_beta 99.62
_cell_angle_gamma 119.81
loop_
_space_group_symop_operation_xyz
'x,y,z'
loop_
_atom_site_label
_atom_site_type_symbol
_atom_site_fract_x
_atom_site_fract_y
_atom_site_fract_z
P1 P 0.236 0.236 0.755
P2 P 0.764 0.764 0.245
P3 P 0.397 0.079 0.240
P4 P 0.921 0.603 0.760
P5 P 0.603 0.921 0.760
P6 P 0.079 0.397 0.240
Pu1 Pu 0.334 0.666 0.000
Pu2 Pu 0.666 0.334 0.000
Ta1 Ta 0.000 0.000 0.000
Np1 Np 0.829 0.171 0.500
Np2 Np 0.171 0.829 0.500
Np3 Np 0.500 0.500 0.500
```

## Properties
Energy of formation, kJ/mol of atoms: -89.2



(6)
The following is a DFT calculation (PBE) of crystalline TbPuNp2P4 at its relaxed geometry.

Cell and atoms, written as CIF:
```
data_TbPuNp2P4
_space_group_name_H-M_alt 'P 1'
_space_group_IT_number 1
_cell_length_a 3.972
_cell_length_b 6.867
_cell_length_c 6.921
_cell_angle_alpha 109.38
_cell_angle_beta 90.00
_cell_angle_gamma 90.00
loop_
_space_group_symop_operation_xyz
'x,y,z'
loop_
_atom_site_label
_atom_site_type_symbol
_atom_site_fract_x
_atom_site_fract_y
_atom_site_fract_z
P1 P 0.500 0.752 0.746
P2 P 0.000 0.755 0.256
P3 P 0.000 0.245 0.744
P4 P 0.500 0.248 0.254
Tb1 Tb 0.500 0.500 0.000
Np1 Np 0.500 0.000 0.500
Np2 Np 0.000 0.500 0.500
Pu1 Pu 0.000 0.000 0.000
```

## Properties
Energy of formation, kJ/mol of atoms: -105.4



Copy entry 3 word for word.
The following is a DFT calculation (PBE) of crystalline PuNpPSe at its relaxed geometry.

Cell and atoms, written as CIF:
```
data_PuNpPSe
_space_group_name_H-M_alt 'P 1'
_space_group_IT_number 1
_cell_length_a 4.049
_cell_length_b 4.049
_cell_length_c 7.075
_cell_angle_alpha 73.37
_cell_angle_beta 73.37
_cell_angle_gamma 60.00
loop_
_space_group_symop_operation_xyz
'x,y,z'
loop_
_atom_site_label
_atom_site_type_symbol
_atom_site_fract_x
_atom_site_fract_y
_atom_site_fract_z
Se1 Se 0.751 0.751 0.747
Pu1 Pu 0.995 0.995 0.015
P1 P 0.249 0.249 0.253
Np1 Np 0.505 0.505 0.485
```

## Properties
Formation energy without anion corrections, kJ/mol of formula units: -456.5